Record 1
This record from Alexandria describes PrAsSe3 after structural relaxation. The functional is PBE-GGA.

Calculated values
relative energy among the computed polymorphs: 0.0000 eV/atom
E_tot: -4.94 eV/atom
symmetry: Pnma
ΔE_f (raw): -22.29 kcal/mol of atoms

Lattice parameters (Å, degrees): 8.297 4.150 14.127 90.00 90.00 90.00
Sites, in units of the cell vectors:
1 Pr 0.096 0.250 0.167
2 Pr 0.404 0.750 0.667
3 Pr 0.596 0.250 0.333
4 Pr 0.904 0.750 0.833
5 As 0.156 0.750 0.439
6 As 0.344 0.250 0.939
7 As 0.656 0.750 0.061
8 As 0.844 0.250 0.561
9 Se 0.024 0.750 0.625
10 Se 0.150 0.750 0.004
11 Se 0.184 0.250 0.785
12 Se 0.316 0.750 0.285
13 Se 0.350 0.250 0.504
14 Se 0.476 0.250 0.125
15 Se 0.524 0.750 0.875
16 Se 0.650 0.750 0.496
17 Se 0.684 0.250 0.715
18 Se 0.816 0.750 0.215
19 Se 0.850 0.250 0.996
20 Se 0.976 0.250 0.375



Record 2
This record from Alexandria describes SrCaRe2 after structural relaxation. The functional is PBE-GGA.

Calculated values
relative energy among the computed polymorphs: 0.7077 eV/atom
E_tot: -6.11 eV/atom
symmetry: F-43m
formation energy: 1.03 eV per atom

Lattice parameters (Å, degrees): 4.893 4.893 4.893 60.00 60.00 60.00
Sites, in units of the cell vectors:
1 Sr 0.000 0.000 0.000
2 Ca 0.750 0.750 0.750
3 Re 0.250 0.250 0.250
4 Re 0.500 0.500 0.500



Record 3
This record from Alexandria describes Nd2CuTc after structural relaxation. The functional is PBE-GGA.

Calculated values
E_tot: -5.25 eV/atom
symmetry: R-3m
formation energy: 0.75 eV per atom

Lattice parameters (Å, degrees): 10.393 10.393 10.393 17.96 17.96 17.96
Sites, in units of the cell vectors:
1 Nd 0.089 0.089 0.089
2 Nd 0.911 0.911 0.911
3 Cu 0.500 0.500 0.500
4 Tc 0.000 0.000 0.000



- Which of these has the highest E_tot?
  PrAsSe3



- Among the records above, which one has the highest E_tot?
  PrAsSe3